First-principles (GGA-PBE) data for RbSrHfGe2 after structural relaxation, as listed in Alexandria via LeMat-Bulk.

Summary:
* energy relative to the elements: 7.7 kcal/mol of atoms
* Fermi-level density of states: 0.614 states/eV/atom
* density: 5.06 g/cm3
* V: 32.626 Å³ per atom

Cell lengths 5.326, 5.326, 5.751 Å; angles 90.00, 90.00, 90.00 degrees
Atoms (fractional coordinates):
1 Rb 0.000 0.000 0.000
2 Sr 0.500 0.500 0.000
3 Hf 0.000 0.000 0.500
4 Ge 0.000 0.500 0.500
5 Ge 0.500 0.000 0.500